VASP calculation (GGA+U) on a relaxed structure of Sr2CuWO.

```
data_Sr2CuWO
_cell_length_a 5.276
_cell_length_b 5.276
_cell_length_c 4.174
_cell_angle_alpha 90.00
_cell_angle_beta 90.00
_cell_angle_gamma 90.00
_space_group_name_H-M_alt 'P 4/m m m'
_space_group_IT_number 123
_space_group_name_Hall '-P 4 2'
loop_
_atom_site_label
_atom_site_type_symbol
_atom_site_fract_x
_atom_site_fract_y
_atom_site_fract_z
Sr1 Sr 0.000 0.500 0.000
Cu1 Cu 0.000 0.000 0.500
W1 W 0.500 0.500 0.500
O1 O 0.000 0.000 0.000
```

The volume is 23.24 A^3/atom. The total DFT energy (no corrections) is -4.10 eV per atom. The total magnetization comes out at 4.71 Bohr magnetons per cell.